Record 1
The following is a DFT calculation (meta-GGA SCAN) of a PBEsol-optimized structure of MnNi4.

Properties
* ΔE_f: -0.154 eV per atom
* D(E_F): 0.703 states/eV per atom
* symmetry: I4/m
* total magnetization: 6.4 μB per formula unit

Cell: 3.517 4.286 4.286 Å, 80.31 65.77 65.77°
Sites, in units of the cell vectors:
Mn 0.000 0.000 0.000
Ni 0.803 0.598 0.795
Ni 0.197 0.402 0.205
Ni 0.598 0.205 0.598
Ni 0.402 0.795 0.402

Record 2
The following is a DFT calculation (meta-GGA SCAN) of a PBEsol-optimized structure of MnNi2.

Properties
* ΔE_f: -0.260 eV per atom
* D(E_F): 0.531 states/eV per atom
* symmetry: I4_1/amd
* total magnetization: 4.8 μB per formula unit

Cell: 3.503 3.503 11.024 Å, 99.14 99.14 90.00°
Sites, in units of the cell vectors:
Mn 0.920 0.920 0.840
Mn 0.080 0.080 0.160
Mn 0.170 0.670 0.340
Mn 0.330 0.830 0.660
Ni 0.750 0.750 0.500
Ni 0.250 0.250 0.500
Ni 0.000 0.500 0.000
Ni 0.500 0.000 0.000
Ni 0.583 0.583 0.165
Ni 0.417 0.417 0.835
Ni 0.833 0.333 0.665
Ni 0.667 0.167 0.335

Record 3
The following is a DFT calculation (meta-GGA SCAN) of a PBEsol-optimized structure of MnNi3.

Properties
* ΔE_f: 0.055 eV per atom
* D(E_F): 1.118 states/eV per atom
* symmetry: P-6m2
* total magnetization: 4.7 μB per formula unit

Cell: 2.446 2.446 7.959 Å, 90.00 90.00 120.00°
Sites, in units of the cell vectors:
Mn 0.000 0.000 0.000
Ni 0.000 0.000 0.500
Ni 0.667 0.333 0.755
Ni 0.667 0.333 0.245